First-principles (PBE+U) data for a relaxed structure of Y2Co2O5, as listed in OQMD via LeMat-Bulk.

a b c (Å): 8.766 3.838 3.838
angles (deg): 90.00 90.00 90.00
Element x y z (fractional)
Co 0.500 0.000 0.000
O 0.861 0.500 0.000
O 0.139 0.500 0.000
O 0.500 0.500 0.500
Co 0.000 0.000 0.000
O 0.139 0.000 0.500
O 0.861 0.000 0.500
Y 0.753 0.500 0.500
Y 0.247 0.500 0.500

Results
The value obtained for the energy is -62.628 eV per cell. For the volume, the calculation gives 14.3 A^3/atom. The crystal system is tetragonal.